(1)
A plane-wave DFT calculation with PBE was carried out for crystalline NaLuCoBi at its relaxed geometry.

Cell and atoms, written as CIF:
```
data_NaLuCoBi
_symmetry_space_group_name_H-M 'F -4 3 m'
_symmetry_Int_Tables_number 216
_symmetry_space_group_name_Hall 'F -4 2 3'
_cell_length_a 7.112
_cell_length_b 7.112
_cell_length_c 7.112
_cell_angle_alpha 90.00
_cell_angle_beta 90.00
_cell_angle_gamma 90.00
loop_
_atom_site_label
_atom_site_type_symbol
_atom_site_fract_x
_atom_site_fract_y
_atom_site_fract_z
Na1 Na 0.000 0.000 0.000
Lu1 Lu 0.000 0.000 0.500
Co1 Co 0.250 0.250 0.750
Bi1 Bi 0.250 0.250 0.250
```

offset from the most stable computed form = 0.0938 eV per atom
calculated volume = 359.73 Å³ per cell

---

(2)
A plane-wave DFT calculation with PBE was carried out for crystalline SrZnGa at its relaxed geometry.

Cell and atoms, written as CIF:
```
data_SrZnGa
_symmetry_space_group_name_H-M 'F -4 3 m'
_symmetry_Int_Tables_number 216
_symmetry_space_group_name_Hall 'F -4 2 3'
_cell_length_a 7.192
_cell_length_b 7.192
_cell_length_c 7.192
_cell_angle_alpha 90.00
_cell_angle_beta 90.00
_cell_angle_gamma 90.00
loop_
_atom_site_label
_atom_site_type_symbol
_atom_site_fract_x
_atom_site_fract_y
_atom_site_fract_z
Sr1 Sr 0.000 0.000 0.000
Zn1 Zn 0.250 0.250 0.250
Ga1 Ga 0.250 0.250 0.750
```

electronic total energy = -20.6 eV/cell
calculated volume = 372.05 Å³ per cell

---

- Number 2 is which compound?
  SrZnGa

---

Repeat the second record exactly.
A plane-wave DFT calculation with PBE was carried out for crystalline SrZnGa at its relaxed geometry.

Cell and atoms, written as CIF:
```
data_SrZnGa
_symmetry_space_group_name_H-M 'F -4 3 m'
_symmetry_Int_Tables_number 216
_symmetry_space_group_name_Hall 'F -4 2 3'
_cell_length_a 7.192
_cell_length_b 7.192
_cell_length_c 7.192
_cell_angle_alpha 90.00
_cell_angle_beta 90.00
_cell_angle_gamma 90.00
loop_
_atom_site_label
_atom_site_type_symbol
_atom_site_fract_x
_atom_site_fract_y
_atom_site_fract_z
Sr1 Sr 0.000 0.000 0.000
Zn1 Zn 0.250 0.250 0.250
Ga1 Ga 0.250 0.250 0.750
```

electronic total energy = -20.6 eV/cell
calculated volume = 372.05 Å³ per cell